Entry from Alexandria: a crystal of BeCu2Tc relaxed with PBEsol (SCAN).

The formation energy from the elements comes out at 0.0969 eV per atom.

a = 2.406 Å, b = 4.562 Å, c = 4.890 Å
α = 115.35°, β = 99.98°, γ = 98.97°
Element x y z (fractional)
Cu 0.000 0.000 0.500
Cu 0.500 0.500 0.500
Tc 0.000 0.500 0.000
Be 0.500 0.000 0.000